[1]
Mg2TcOs | meta-GGA SCAN | PBEsol geometry

Values from the calculation:
Its space group is P4/mmm. The energy relative to the elements comes out at 0.460 eV per atom. As for the energy above the most stable polymorph in this dataset: 489.8 meV per atom.

Geometry as CIF:
```
data_Mg2TcOs
_space_group_name_H-M_alt 'P 1'
_space_group_IT_number 1
_space_group_name_Hall 'P 1'
_cell_length_a 3.379
_cell_length_b 3.379
_cell_length_c 5.363
_cell_angle_alpha 90.00
_cell_angle_beta 90.00
_cell_angle_gamma 90.00
loop_
_atom_site_label
_atom_site_type_symbol
_atom_site_fract_x
_atom_site_fract_y
_atom_site_fract_z
Mg1 Mg 0.000 0.000 0.752
Mg2 Mg 0.000 0.000 0.248
Os1 Os 0.500 0.500 0.000
Tc1 Tc 0.500 0.500 0.500
```


[2]
ReP2Se | meta-GGA SCAN | PBEsol geometry

Values from the calculation:
Its space group is Cm. Its uncorrected formation energy is 0.120 eV/atom.

Geometry as CIF:
```
data_ReP2Se
_space_group_name_H-M_alt 'P 1'
_space_group_IT_number 1
_space_group_name_Hall 'P 1'
_cell_length_a 3.153
_cell_length_b 4.102
_cell_length_c 6.280
_cell_angle_alpha 97.51
_cell_angle_beta 90.00
_cell_angle_gamma 112.60
loop_
_atom_site_label
_atom_site_type_symbol
_atom_site_fract_x
_atom_site_fract_y
_atom_site_fract_z
P1 P 0.024 0.047 0.900
P2 P 0.218 0.437 0.698
Re1 Re 0.496 0.992 0.579
Se1 Se 0.762 0.524 0.324
```


[3]
TlCoBr2 | meta-GGA SCAN | PBEsol geometry

Values from the calculation:
Its space group is P4mm. Its uncorrected formation energy is -0.333 eV/atom. As for the energy above the most stable polymorph in this dataset: 0.0 meV per atom.

Geometry as CIF:
```
data_TlCoBr2
_space_group_name_H-M_alt 'P 1'
_space_group_IT_number 1
_space_group_name_Hall 'P 1'
_cell_length_a 3.523
_cell_length_b 3.523
_cell_length_c 8.337
_cell_angle_alpha 90.00
_cell_angle_beta 90.00
_cell_angle_gamma 90.00
loop_
_atom_site_label
_atom_site_type_symbol
_atom_site_fract_x
_atom_site_fract_y
_atom_site_fract_z
Tl1 Tl 0.500 0.500 0.793
Co1 Co 0.000 0.000 0.305
Br1 Br 0.000 0.000 0.023
Br2 Br 0.500 0.500 0.379
```


[4]
PH4Br | meta-GGA SCAN | PBEsol geometry

Values from the calculation:
Its space group is P4/nmm. Its total energy is -7.50 eV per atom.

Geometry as CIF:
```
data_PH4Br
_space_group_name_H-M_alt 'P 1'
_space_group_IT_number 1
_space_group_name_Hall 'P 1'
_cell_length_a 4.205
_cell_length_b 5.774
_cell_length_c 5.774
_cell_angle_alpha 90.00
_cell_angle_beta 90.00
_cell_angle_gamma 90.00
loop_
_atom_site_label
_atom_site_type_symbol
_atom_site_fract_x
_atom_site_fract_y
_atom_site_fract_z
P1 P 0.000 0.500 0.500
P2 P 0.000 0.000 0.000
Br1 Br 0.393 0.500 0.000
Br2 Br 0.607 0.000 0.500
H1 H 0.201 0.700 0.500
H2 H 0.201 0.300 0.500
H3 H 0.201 0.000 0.200
H4 H 0.201 0.000 0.800
H5 H 0.799 0.800 0.000
H6 H 0.799 0.200 0.000
H7 H 0.799 0.500 0.700
H8 H 0.799 0.500 0.300
```